Entry from the Alexandria database: a relaxed CrCdGaF6 crystal (PBE with a Hubbard U).

For the density of states at the Fermi level, the calculation gives 0.66 states/eV per atom. Its total energy is -4.725 eV per atom. Its total magnetization is 9.0 μB per cell.

The structure belongs to space group P-31c (No. 163); the cell edges are 5.5599, 5.5599 and 9.7319 Å and the angles 90.00°, 90.00° and 120.00°. The asymmetric unit holds Cr at (0.3333, 0.6667, 0.2500), Cd at (0.0000, 0.0000, 0.0000), Ga at (0.3333, 0.6667, 0.7500) and F at (0.0368, 0.3763, 0.6392).